Below is crystalline VB3Se at its relaxed geometry, with properties calculated at the PBE level.

```
5
Lattice="-0.137 2.865 -2.935 -4.014 0.509 0.684 0.842 2.893 2.785" Properties=species:S:1:pos:R:3 pbc="T T T"
Se -1.654 3.134 0.267
B -0.068 1.432 -1.467
B -2.007 0.255 0.342
B 0.421 1.447 1.393
V 0.000 0.000 0.000
```

Calculated values
Space group = Pm-3m
Energy relative to the elements, uncorrected = 1.66 eV/atom
Distance to the lowest polymorph of the same formula = 0.000 eV/atom
M_tot = 0.000 μB per atom

Below is crystalline VNiTeI2 at its relaxed geometry, with properties calculated at the PBE level.

```
5
Lattice="-1.757 3.187 -3.630 -1.664 -4.026 -2.729 -4.628 0.247 2.457" Properties=species:S:1:pos:R:3 pbc="T T T"
I -0.878 1.594 -1.815
I -0.832 -2.013 -1.365
Ni 0.000 0.000 0.000
Te -2.314 0.124 1.228
V -4.024 -0.295 -1.952
```

Calculated values
Space group = P4/mmm
Energy relative to the elements, uncorrected = 0.84 eV/atom
Distance to the lowest polymorph of the same formula = 0.156 eV/atom
M_tot = 0.006 μB per atom

Below is crystalline Pr6AlOs2 at its relaxed geometry, with properties calculated at the PBE level.

```
18
Lattice="8.224 -0.061 -3.086 -4.347 7.247 -2.395 -0.171 0.061 8.782" Properties=species:S:1:pos:R:3 pbc="T T T"
Os 5.501 0.000 3.892
Os 2.294 2.802 5.297
Os 1.412 4.446 -1.995
Os 2.551 0.000 1.805
Pr -1.814 7.169 2.565
Pr 5.528 1.717 -2.662
Pr 3.970 2.586 2.928
Pr 0.499 1.777 2.683
Pr 5.520 0.078 0.736
Pr -0.570 2.051 6.223
Pr -1.822 5.531 5.964
Pr 2.546 1.990 -0.477
Pr -0.264 4.661 0.373
Pr 4.275 5.197 -2.922
Pr 1.160 5.257 3.778
Pr 3.207 5.470 0.618
Al -2.259 3.654 3.193
Al 0.000 0.000 0.000
```

Calculated values
Energy of formation from the pure elements = -0.13 eV/atom
Space group = Immm
M_tot = 0.000 μB per atom

Below is crystalline UNiH3 at its relaxed geometry, with properties calculated at the PBE level.

```
5
Lattice="3.555 0.000 0.000 0.000 3.555 0.000 0.000 0.000 3.555" Properties=species:S:1:pos:R:3 pbc="T T T"
H 1.777 0.000 0.000
H 0.000 0.000 1.777
H 0.000 1.777 0.000
Ni 0.000 0.000 0.000
U 1.777 1.777 1.777
```

Calculated values
DFT total energy = -27.97 eV/f.u.
Space group = Pm-3m
M_tot = 0.645 μB per atom